No. 1
Here is a relaxed structure of AlPb2Au3 from the Alexandria database. Energies are from PBE.

Density, g/cm3: 12.48
Calculated formation energy, eV per atom: -0.15

```
data_AlPb2Au3
_space_group_name_H-M_alt 'C m c 21'
_space_group_IT_number 36
_cell_length_a 14.761
_cell_length_b 6.411
_cell_length_c 5.804
_cell_angle_alpha 90.00
_cell_angle_beta 90.00
_cell_angle_gamma 90.00
loop_
_space_group_symop_operation_xyz
'x,y,z'
'-x,-y,z+1/2'
'-x,y,z'
'x,-y,z+1/2'
'x+1/2,y+1/2,z'
'-x+1/2,-y+1/2,z+1/2'
'-x+1/2,y+1/2,z'
'x+1/2,-y+1/2,z+1/2'
loop_
_atom_site_label
_atom_site_fract_x
_atom_site_fract_y
_atom_site_fract_z
Al1 0.000 0.177 0.000
Pb1 0.180 0.370 0.674
Au1 0.000 0.443 0.356
Au2 0.119 0.062 0.309
```

---

No. 2
Here is a relaxed structure of Pr7SmSn2 from the Alexandria database. Energies are from PBE.

Density, g/cm3: 5.36
Calculated formation energy, eV per atom: 0.15

```
data_Pr7SmSn2
_space_group_name_H-M_alt 'C m m m'
_space_group_IT_number 65
_space_group_name_Hall '-C 2 2'
_cell_length_a 9.376
_cell_length_b 15.886
_cell_length_c 5.721
_cell_angle_alpha 90.00
_cell_angle_beta 90.00
_cell_angle_gamma 90.00
loop_
_atom_site_label
_atom_site_fract_x
_atom_site_fract_y
_atom_site_fract_z
Pr1 0.000 0.000 0.000
Pr2 0.000 0.269 0.500
Pr3 0.181 0.376 0.000
Sm1 0.000 0.500 0.500
Sn1 0.000 0.197 0.000
```

---

No. 3
Here is a relaxed structure of TmThCd4 from the Alexandria database. Energies are from PBE.

Density, g/cm3: 8.70
Calculated formation energy, eV per atom: 0.00
Distance to the lowest polymorph of the same formula, eV/f.u.: 1.34

```
data_TmThCd4
_space_group_name_H-M_alt 'I -4 m 2'
_space_group_IT_number 119
_space_group_name_Hall 'I -4 -2'
_cell_length_a 4.296
_cell_length_b 4.296
_cell_length_c 17.601
_cell_angle_alpha 90.00
_cell_angle_beta 90.00
_cell_angle_gamma 90.00
loop_
_atom_site_label
_atom_site_fract_x
_atom_site_fract_y
_atom_site_fract_z
Tm1 0.000 0.000 0.000
Th1 0.000 0.500 0.250
Cd1 0.000 0.000 0.423
Cd2 0.000 0.500 0.670
```

---

No. 4
Here is a relaxed structure of LaAl2Pb from the Alexandria database. Energies are from PBE.

Density, g/cm3: 6.67
Calculated formation energy, eV per atom: -0.29

```
data_LaAl2Pb
_space_group_name_H-M_alt 'P 4/m m m'
_space_group_IT_number 123
_space_group_name_Hall '-P 4 2'
_cell_length_a 4.653
_cell_length_b 4.653
_cell_length_c 4.599
_cell_angle_alpha 90.00
_cell_angle_beta 90.00
_cell_angle_gamma 90.00
loop_
_atom_site_label
_atom_site_fract_x
_atom_site_fract_y
_atom_site_fract_z
La1 0.000 0.000 0.000
Al1 0.000 0.500 0.500
Pb1 0.500 0.500 0.000
```

---

No. 5
Here is a relaxed structure of NaTbNp4N8 from the Alexandria database. Energies are from PBE.

Formation energy (no corrections), meV per atom: -948
Density, g/cm3: 9.53

```
data_NaTbNp4N8
_space_group_name_H-M_alt 'R 3 m'
_space_group_IT_number 160
_space_group_name_Hall 'R 3 -2"'
_cell_length_a 6.8855
_cell_length_b 6.8855
_cell_length_c 15.8186
_cell_angle_alpha 90.00
_cell_angle_beta 90.00
_cell_angle_gamma 120.00
loop_
_atom_site_label
_atom_site_fract_x
_atom_site_fract_y
_atom_site_fract_z
Na1 0.0000 0.0000 0.0000
Tb1 0.0000 0.0000 0.6170
Np1 0.0000 0.0000 0.3893
Np2 0.0005 0.5003 0.5011
N1 0.0000 0.0000 0.2431
N2 0.0000 0.0000 0.7647
N3 0.0235 0.5117 0.7650
N4 0.1809 0.3617 0.5647
```

---

No. 6
Here is a relaxed structure of Y2Ir2Au from the Alexandria database. Energies are from PBE.

Density, g/cm3: 12.04
Calculated formation energy, eV per atom: -0.68

```
data_Y2Ir2Au
_space_group_name_H-M_alt 'P 4/m b m'
_space_group_IT_number 127
_space_group_name_Hall '-P 4 2ab'
_cell_length_a 7.273
_cell_length_b 7.273
_cell_length_c 3.960
_cell_angle_alpha 90.00
_cell_angle_beta 90.00
_cell_angle_gamma 90.00
loop_
_atom_site_label
_atom_site_fract_x
_atom_site_fract_y
_atom_site_fract_z
Y1 0.175 0.325 0.000
Ir1 0.127 0.627 0.500
Au1 0.000 0.000 0.500
```

---

Q: Look up the density of the fourth one.
A: 6.67 g/cm3